TlPbCl4: optimized geometry, PBE-GGA.

Unit cell a=8.663 b=8.663 c=8.663 alpha=90.00 beta=90.00 gamma=90.00
Space group F-43m (No. 216)
One atom of each set of equivalent atoms:
Tl: 0.000 0.000 0.000 [4 per cell]
Pb: 0.250 0.250 0.250 [4 per cell]
Cl: 0.125 0.125 0.625 [16 per cell]

Its final energy is -0.1742 Ry/atom. As for the theoretical density: 5.7 g/cm³. Its excess energy over the best structure of this formula in the dataset is 0.747 eV per atom. Its uncorrected formation energy is -127 meV per atom. The value obtained for the total moment is 1.0 μB/f.u. Its crystal system is cubic.


Tl5PbCl8: optimized geometry, PBE-GGA.

Unit cell a=9.379 b=9.379 c=9.399 alpha=90.00 beta=90.00 gamma=90.00
Space group I-4 (No. 82)
One atom of each set of equivalent atoms:
Tl: 0.000 0.000 0.000 [2 per cell]
Tl: 0.128 0.745 0.372 [8 per cell]
Pb: 0.000 0.500 0.750 [2 per cell]
Cl: 0.067 0.804 0.691 [8 per cell]
Cl: 0.070 0.673 0.037 [8 per cell]

Its final energy is -0.2286 Ry/atom. As for the theoretical density: 6.1 g/cm³. Its uncorrected formation energy is -945 meV per atom. The value obtained for the total moment is 0.0 μB/f.u. Its crystal system is tetragonal.


TlPb3Cl: optimized geometry, PBE-GGA.

Unit cell a=5.633 b=5.633 c=5.633 alpha=90.00 beta=90.00 gamma=90.00
Space group Pm-3m (No. 221)
One atom of each set of equivalent atoms:
Tl: 0.000 0.000 0.000 [1 per cell]
Pb: 0.000 0.500 0.500 [3 per cell]
Cl: 0.500 0.500 0.500 [1 per cell]

Its final energy is -0.2138 Ry/atom. As for the theoretical density: 8.0 g/cm³. Its excess energy over the best structure of this formula in the dataset is 0.000 eV per atom. Its uncorrected formation energy is 159 meV per atom. The value obtained for the total moment is 0.0 μB/f.u. Its crystal system is cubic.


TlPb2Cl: optimized geometry, PBE-GGA.

Unit cell a=3.666 b=5.782 c=5.682 alpha=90.00 beta=91.90 gamma=90.00
Space group P2/m (No. 10)
One atom of each set of equivalent atoms:
Tl: 0.000 0.000 0.000 [1 per cell]
Pb: 0.274 0.500 0.752 [2 per cell]
Cl: 0.500 0.000 0.500 [1 per cell]

Its final energy is -0.2325 Ry/atom. As for the theoretical density: 9.0 g/cm³. Its excess energy over the best structure of this formula in the dataset is 0.082 eV per atom. Its uncorrected formation energy is -255 meV per atom. The value obtained for the total moment is 0.0 μB/f.u. Its crystal system is monoclinic.